Computed, not measured: a relaxed structure of Tb3DyHo2 at the GGA-PBE level of DFT.

The structure in CIF format:
```
data_Tb3DyHo2
_cell_length_a 8.8907
_cell_length_b 8.8907
_cell_length_c 5.5720
_cell_angle_alpha 90.00
_cell_angle_beta 90.00
_cell_angle_gamma 67.39
_symmetry_space_group_name_H-M 'P 1'
_symmetry_Int_Tables_number 1
loop_
_symmetry_equiv_pos_as_xyz
'x,y,z'
loop_
_atom_site_label
_atom_site_type_symbol
_atom_site_fract_x
_atom_site_fract_y
_atom_site_fract_z
Tb1 Tb 0.0891 0.9109 0.7500
Tb2 Tb 0.1119 0.3712 0.2500
Tb3 Tb 0.3712 0.1119 0.7500
Tb4 Tb 0.6288 0.8881 0.2500
Tb5 Tb 0.8881 0.6288 0.7500
Tb6 Tb 0.9109 0.0891 0.2500
Dy1 Dy 0.2695 0.7305 0.2500
Dy2 Dy 0.7305 0.2695 0.7500
Ho1 Ho 0.2928 0.4920 0.7500
Ho2 Ho 0.4920 0.2928 0.2500
Ho3 Ho 0.5080 0.7072 0.7500
Ho4 Ho 0.7072 0.5080 0.2500
```

Results
theoretical density	7.916	g/cm³
ΔE to the lowest computed polymorph	326.5	meV/atom
size of the total moment	0.0	μB per formula unit

Computed, not measured: a relaxed structure of LaGeRh3 at the GGA-PBE level of DFT.

The structure in CIF format:
```
data_LaGeRh3
_cell_length_a 4.6286
_cell_length_b 4.6286
_cell_length_c 4.6286
_cell_angle_alpha 90.00
_cell_angle_beta 90.00
_cell_angle_gamma 90.00
_symmetry_space_group_name_H-M 'P 1'
_symmetry_Int_Tables_number 1
loop_
_symmetry_equiv_pos_as_xyz
'x,y,z'
loop_
_atom_site_label
_atom_site_type_symbol
_atom_site_fract_x
_atom_site_fract_y
_atom_site_fract_z
La1 La 0.0000 0.0000 0.0000
Ge1 Ge 0.5000 0.5000 0.5000
Rh1 Rh 0.0000 0.5000 0.5000
Rh2 Rh 0.5000 0.0000 0.5000
Rh3 Rh 0.5000 0.5000 0.0000
```

Results
theoretical density	8.712	g/cm³
ΔE to the lowest computed polymorph	178.2	meV/atom
size of the total moment	0.0	μB per formula unit

Computed, not measured: a relaxed structure of Hf2NpHg at the GGA-PBE level of DFT.

The structure in CIF format:
```
data_Hf2NpHg
_cell_length_a 5.1616
_cell_length_b 5.1616
_cell_length_c 3.2229
_cell_angle_alpha 90.00
_cell_angle_beta 90.00
_cell_angle_gamma 90.00
_symmetry_space_group_name_H-M 'P 1'
_symmetry_Int_Tables_number 1
loop_
_symmetry_equiv_pos_as_xyz
'x,y,z'
loop_
_atom_site_label
_atom_site_type_symbol
_atom_site_fract_x
_atom_site_fract_y
_atom_site_fract_z
Hf1 Hf 0.0000 0.5000 0.0000
Hf2 Hf 0.5000 0.0000 0.0000
Np1 Np 0.0000 0.0000 0.5000
Hg1 Hg 0.5000 0.5000 0.5000
```

Results
theoretical density	15.366	g/cm³
ΔE to the lowest computed polymorph	41.3	meV/atom
size of the total moment	4.1	μB per formula unit

Computed, not measured: a relaxed structure of Cd2Br2F at the GGA-PBE level of DFT.

The structure in CIF format:
```
data_Cd2Br2F
_cell_length_a 7.1145
_cell_length_b 7.1145
_cell_length_c 4.4410
_cell_angle_alpha 90.00
_cell_angle_beta 90.00
_cell_angle_gamma 90.00
_symmetry_space_group_name_H-M 'P 1'
_symmetry_Int_Tables_number 1
loop_
_symmetry_equiv_pos_as_xyz
'x,y,z'
loop_
_atom_site_label
_atom_site_type_symbol
_atom_site_fract_x
_atom_site_fract_y
_atom_site_fract_z
Cd1 Cd 0.1625 0.3375 0.0000
Cd2 Cd 0.3375 0.8375 0.0000
Cd3 Cd 0.6625 0.1625 0.0000
Cd4 Cd 0.8375 0.6625 0.0000
Br1 Br 0.1745 0.6745 0.5000
Br2 Br 0.3255 0.1745 0.5000
Br3 Br 0.6745 0.8255 0.5000
Br4 Br 0.8255 0.3255 0.5000
F1 F 0.0000 0.0000 0.0000
F2 F 0.5000 0.5000 0.0000
```

Results
theoretical density	5.963	g/cm³
energy relative to the elements, uncorrected	-0.83	eV per atom
ΔE to the lowest computed polymorph	107.0	meV/atom
size of the total moment	0.0	μB per formula unit

Computed, not measured: a relaxed structure of Cs2PrZn2O4 at the GGA-PBE level of DFT.

The structure in CIF format:
```
data_Cs2PrZn2O4
_cell_length_a 7.5772
_cell_length_b 7.5772
_cell_length_c 7.2282
_cell_angle_alpha 106.04
_cell_angle_beta 106.04
_cell_angle_gamma 27.37
_symmetry_space_group_name_H-M 'P 1'
_symmetry_Int_Tables_number 1
loop_
_symmetry_equiv_pos_as_xyz
'x,y,z'
loop_
_atom_site_label
_atom_site_type_symbol
_atom_site_fract_x
_atom_site_fract_y
_atom_site_fract_z
Cs1 Cs 0.1342 0.1342 0.0643
Cs2 Cs 0.8658 0.8658 0.9357
Pr1 Pr 0.0000 0.0000 0.5000
Zn1 Zn 0.3179 0.3179 0.4709
Zn2 Zn 0.6821 0.6821 0.5291
O1 O 0.1731 0.1731 0.6727
O2 O 0.4489 0.4489 0.6715
O3 O 0.5511 0.5511 0.3285
O4 O 0.8269 0.8269 0.3273
```

Results
theoretical density	5.461	g/cm³
energy relative to the elements, uncorrected	-1.62	eV per atom
size of the total moment	0.0	μB per formula unit

Computed, not measured: a relaxed structure of Sm8PSe3S4 at the GGA-PBE level of DFT.

The structure in CIF format:
```
data_Sm8PSe3S4
_cell_length_a 8.1752
_cell_length_b 8.1752
_cell_length_c 8.1752
_cell_angle_alpha 59.99
_cell_angle_beta 59.99
_cell_angle_gamma 59.99
_symmetry_space_group_name_H-M 'P 1'
_symmetry_Int_Tables_number 1
loop_
_symmetry_equiv_pos_as_xyz
'x,y,z'
loop_
_atom_site_label
_atom_site_type_symbol
_atom_site_fract_x
_atom_site_fract_y
_atom_site_fract_z
Sm1 Sm 0.2311 0.7544 0.7544
Sm2 Sm 0.2418 0.2418 0.2418
Sm3 Sm 0.2456 0.2456 0.7689
Sm4 Sm 0.2456 0.7689 0.2456
Sm5 Sm 0.7544 0.2311 0.7544
Sm6 Sm 0.7544 0.7544 0.2311
Sm7 Sm 0.7582 0.7582 0.7582
Sm8 Sm 0.7689 0.2456 0.2456
P1 P 0.0000 0.0000 0.0000
Se1 Se 0.0000 0.5000 0.5000
Se2 Se 0.5000 0.0000 0.5000
Se3 Se 0.5000 0.5000 0.0000
S1 S 0.0000 0.0000 0.5000
S2 S 0.0000 0.5000 0.0000
S3 S 0.5000 0.0000 0.0000
S4 S 0.5000 0.5000 0.5000
```

Results
theoretical density	6.874	g/cm³
energy relative to the elements, uncorrected	-1.92	eV per atom
size of the total moment	0.0	μB per formula unit

Computed, not measured: a relaxed structure of AcPr4Tl5 at the GGA-PBE level of DFT.

The structure in CIF format:
```
data_AcPr4Tl5
_cell_length_a 3.9438
_cell_length_b 3.9438
_cell_length_c 20.1831
_cell_angle_alpha 90.00
_cell_angle_beta 90.00
_cell_angle_gamma 90.00
_symmetry_space_group_name_H-M 'P 1'
_symmetry_Int_Tables_number 1
loop_
_symmetry_equiv_pos_as_xyz
'x,y,z'
loop_
_atom_site_label
_atom_site_type_symbol
_atom_site_fract_x
_atom_site_fract_y
_atom_site_fract_z
Ac1 Ac 0.0000 0.0000 0.0000
Pr1 Pr 0.0000 0.0000 0.2074
Pr2 Pr 0.0000 0.0000 0.4027
Pr3 Pr 0.0000 0.0000 0.5973
Pr4 Pr 0.0000 0.0000 0.7926
Tl1 Tl 0.5000 0.5000 0.1109
Tl2 Tl 0.5000 0.5000 0.3060
Tl3 Tl 0.5000 0.5000 0.5000
Tl4 Tl 0.5000 0.5000 0.6940
Tl5 Tl 0.5000 0.5000 0.8891
```

Results
theoretical density	9.588	g/cm³
size of the total moment	0.0	μB per formula unit
total DFT energy (no corrections)	-3.889	eV per atom

Computed, not measured: a relaxed structure of CsZnAgCl5 at the GGA-PBE level of DFT.

The structure in CIF format:
```
data_CsZnAgCl5
_cell_length_a 7.7600
_cell_length_b 7.7600
_cell_length_c 9.1117
_cell_angle_alpha 100.45
_cell_angle_beta 100.45
_cell_angle_gamma 102.86
_symmetry_space_group_name_H-M 'P 1'
_symmetry_Int_Tables_number 1
loop_
_symmetry_equiv_pos_as_xyz
'x,y,z'
loop_
_atom_site_label
_atom_site_type_symbol
_atom_site_fract_x
_atom_site_fract_y
_atom_site_fract_z
Cs1 Cs 0.1366 0.8634 0.7500
Cs2 Cs 0.8634 0.1366 0.2500
Zn1 Zn 0.2094 0.7906 0.2500
Zn2 Zn 0.7906 0.2094 0.7500
Ag1 Ag 0.5000 0.5000 0.0000
Ag2 Ag 0.5000 0.5000 0.5000
Cl1 Cl 0.0553 0.2711 0.9233
Cl2 Cl 0.2089 0.5622 0.3907
Cl3 Cl 0.2711 0.0553 0.4233
Cl4 Cl 0.4284 0.5716 0.7500
Cl5 Cl 0.4378 0.7911 0.1093
Cl6 Cl 0.5622 0.2089 0.8907
Cl7 Cl 0.5716 0.4284 0.2500
Cl8 Cl 0.7289 0.9447 0.5767
Cl9 Cl 0.7911 0.4378 0.6093
Cl10 Cl 0.9447 0.7289 0.0767
```

Results
theoretical density	3.137	g/cm³
energy relative to the elements, uncorrected	-1.08	eV per atom
size of the total moment	0.0	μB per formula unit

Computed, not measured: a relaxed structure of NdPuPd4 at the GGA-PBE level of DFT.

The structure in CIF format:
```
data_NdPuPd4
_cell_length_a 5.4966
_cell_length_b 5.4966
_cell_length_c 5.4966
_cell_angle_alpha 60.00
_cell_angle_beta 60.00
_cell_angle_gamma 60.00
_symmetry_space_group_name_H-M 'P 1'
_symmetry_Int_Tables_number 1
loop_
_symmetry_equiv_pos_as_xyz
'x,y,z'
loop_
_atom_site_label
_atom_site_type_symbol
_atom_site_fract_x
_atom_site_fract_y
_atom_site_fract_z
Nd1 Nd 0.0000 0.0000 0.0000
Pu1 Pu 0.2500 0.2500 0.2500
Pd1 Pd 0.1264 0.6245 0.6245
Pd2 Pd 0.6245 0.1264 0.6245
Pd3 Pd 0.6245 0.6245 0.1264
Pd4 Pd 0.6245 0.6245 0.6245
```

Results
theoretical density	11.510	g/cm³
size of the total moment	5.4	μB per formula unit
total DFT energy (no corrections)	-7.285	eV per atom

Computed, not measured: a relaxed structure of Pr3Cu2GePd9 at the GGA-PBE level of DFT.

The structure in CIF format:
```
data_Pr3Cu2GePd9
_cell_length_a 5.7091
_cell_length_b 5.7091
_cell_length_c 11.3009
_cell_angle_alpha 90.00
_cell_angle_beta 90.00
_cell_angle_gamma 120.00
_symmetry_space_group_name_H-M 'P 1'
_symmetry_Int_Tables_number 1
loop_
_symmetry_equiv_pos_as_xyz
'x,y,z'
loop_
_atom_site_label
_atom_site_type_symbol
_atom_site_fract_x
_atom_site_fract_y
_atom_site_fract_z
Pr1 Pr 0.0000 0.0000 0.0000
Pr2 Pr 0.3333 0.6667 0.7517
Pr3 Pr 0.6667 0.3333 0.2483
Cu1 Cu 0.3333 0.6667 0.1704
Cu2 Cu 0.6667 0.3333 0.8296
Ge1 Ge 0.0000 0.0000 0.5000
Pd1 Pd 0.0000 0.5000 0.0000
Pd2 Pd 0.1703 0.3405 0.3444
Pd3 Pd 0.1703 0.8297 0.3444
Pd4 Pd 0.3405 0.1703 0.6556
Pd5 Pd 0.5000 0.0000 0.0000
Pd6 Pd 0.5000 0.5000 0.0000
Pd7 Pd 0.6595 0.8297 0.3444
Pd8 Pd 0.8297 0.1703 0.6556
Pd9 Pd 0.8297 0.6595 0.6556
```

Results
theoretical density	8.226	g/cm³
size of the total moment	0.0	μB per formula unit
total DFT energy (no corrections)	-5.370	eV per atom

Computed, not measured: a relaxed structure of DyEr3Sc at the GGA-PBE level of DFT.

The structure in CIF format:
```
data_DyEr3Sc
_cell_length_a 6.1157
_cell_length_b 6.5402
_cell_length_c 8.9640
_cell_angle_alpha 107.65
_cell_angle_beta 90.05
_cell_angle_gamma 117.86
_symmetry_space_group_name_H-M 'P 1'
_symmetry_Int_Tables_number 1
loop_
_symmetry_equiv_pos_as_xyz
'x,y,z'
loop_
_atom_site_label
_atom_site_type_symbol
_atom_site_fract_x
_atom_site_fract_y
_atom_site_fract_z
Dy1 Dy 0.0316 0.4033 0.1531
Dy2 Dy 0.9684 0.5967 0.8469
Er1 Er 0.1670 0.0056 0.2528
Er2 Er 0.2343 0.8008 0.5487
Er3 Er 0.4342 0.2028 0.9477
Er4 Er 0.5658 0.7972 0.0523
Er5 Er 0.7657 0.1992 0.4513
Er6 Er 0.8330 0.9944 0.7472
Sc1 Sc 0.3686 0.4020 0.6464
Sc2 Sc 0.6314 0.5980 0.3536
```

Results
theoretical density	7.912	g/cm³
size of the total moment	0.0	μB per formula unit
total DFT energy (no corrections)	-4.911	eV per atom

Computed, not measured: a relaxed structure of TmPaNbN3 at the GGA-PBE level of DFT.

The structure in CIF format:
```
data_TmPaNbN3
_cell_length_a 7.0626
_cell_length_b 3.2427
_cell_length_c 8.1775
_cell_angle_alpha 90.00
_cell_angle_beta 94.57
_cell_angle_gamma 90.00
_symmetry_space_group_name_H-M 'P 1'
_symmetry_Int_Tables_number 1
loop_
_symmetry_equiv_pos_as_xyz
'x,y,z'
loop_
_atom_site_label
_atom_site_type_symbol
_atom_site_fract_x
_atom_site_fract_y
_atom_site_fract_z
Tm1 Tm 0.1332 0.2500 0.1443
Tm2 Tm 0.8668 0.7500 0.8557
Pa1 Pa 0.3524 0.7500 0.8258
Pa2 Pa 0.6476 0.2500 0.1742
Nb1 Nb 0.3661 0.7500 0.4303
Nb2 Nb 0.6339 0.2500 0.5697
N1 N 0.1144 0.2500 0.8728
N2 N 0.3307 0.2500 0.6023
N3 N 0.3793 0.7500 0.1346
N4 N 0.6207 0.2500 0.8654
N5 N 0.6693 0.7500 0.3977
N6 N 0.8856 0.7500 0.1272
```

Results
theoretical density	9.516	g/cm³
energy relative to the elements, uncorrected	-1.23	eV per atom
size of the total moment	0.0	μB per formula unit